# 1
# Sr3LaNb3O12 (SCAN, single point on PBEsol structure)
data_Sr3LaNb3O12
_chemical_formula_sum 'Sr9 La3 Nb9 O36'
_symmetry_space_group_name_H-M 'R 3'
_symmetry_Int_Tables_number 146
_symmetry_space_group_name_Hall 'R 3'
_cell_length_a 5.6741
_cell_length_b 5.6741
_cell_length_c 27.2201
_cell_angle_alpha 90.00
_cell_angle_beta 90.00
_cell_angle_gamma 120.00
loop_
_atom_site_label
_atom_site_fract_x
_atom_site_fract_y
_atom_site_fract_z
Sr1 0.0000 0.0000 0.0000
Sr2 0.0000 0.0000 0.1441
Sr3 0.0000 0.0000 0.7176
La1 0.0000 0.0000 0.5732
Nb1 0.0000 0.0000 0.2830
Nb2 0.0000 0.0000 0.4345
Nb3 0.0000 0.0000 0.8578
O1 0.0013 0.4306 0.7378
O2 0.0057 0.5591 0.1544
O3 0.0983 0.3351 0.8999
O4 0.1019 0.7600 0.3119
# uncorrected energy: -1034.89 eV/cell
# formation energy without anion corrections: -3.204 eV per atom
# spin magnetization: 0.000 μB per formula unit
# DOS at the Fermi energy: 0.00 states/eV per cell


# 2
# Li2CuSi (SCAN, single point on PBEsol structure)
data_Li2CuSi
_chemical_formula_sum 'Li2 Cu1 Si1'
_symmetry_space_group_name_H-M 'P 4/m m m'
_symmetry_Int_Tables_number 123
_symmetry_space_group_name_Hall '-P 4 2'
_cell_length_a 2.5359
_cell_length_b 2.5359
_cell_length_c 7.9481
_cell_angle_alpha 90.00
_cell_angle_beta 90.00
_cell_angle_gamma 90.00
loop_
_atom_site_label
_atom_site_fract_x
_atom_site_fract_y
_atom_site_fract_z
Li1 0.0000 0.0000 0.2503
Cu1 0.5000 0.5000 0.0000
Si1 0.5000 0.5000 0.5000
# uncorrected energy: -30.28 eV/cell
# formation energy without anion corrections: -0.072 eV per atom
# spin magnetization: 0.000 μB per formula unit
# DOS at the Fermi energy: 1.01 states/eV per cell


# 3
# LaMgTe2 (SCAN, single point on PBEsol structure)
data_LaMgTe2
_chemical_formula_sum 'La2 Mg2 Te4'
_symmetry_space_group_name_H-M 'A m m 2'
_symmetry_Int_Tables_number 38
_symmetry_space_group_name_Hall 'A 2 -2'
_cell_length_a 4.5551
_cell_length_b 4.2112
_cell_length_c 12.1770
_cell_angle_alpha 90.00
_cell_angle_beta 90.00
_cell_angle_gamma 90.00
loop_
_atom_site_label
_atom_site_fract_x
_atom_site_fract_y
_atom_site_fract_z
La1 0.0000 0.0000 0.0000
Mg1 0.5000 0.0000 0.7804
Te1 0.0000 0.0000 0.2896
Te2 0.5000 0.0000 0.5510
# uncorrected energy: -255.61 eV/cell
# formation energy without anion corrections: -1.306 eV per atom
# spin magnetization: 0.000 μB per formula unit
# DOS at the Fermi energy: 2.25 states/eV per cell


# 4
# MnNiAg (SCAN, single point on PBEsol structure)
data_MnNiAg
_chemical_formula_sum 'Mn1 Ni1 Ag1'
_symmetry_space_group_name_H-M 'P 3 m 1'
_symmetry_Int_Tables_number 156
_symmetry_space_group_name_Hall 'P 3 -2"'
_cell_length_a 4.1778
_cell_length_b 4.1778
_cell_length_c 2.6752
_cell_angle_alpha 90.00
_cell_angle_beta 90.00
_cell_angle_gamma 120.00
loop_
_atom_site_label
_atom_site_fract_x
_atom_site_fract_y
_atom_site_fract_z
Mn1 0.0000 0.0000 0.0000
Ni1 0.3333 0.6667 0.2115
Ag1 0.6667 0.3333 0.6004
# uncorrected energy: -65.58 eV/cell
# spin magnetization: 4.468 μB per formula unit
# DOS at the Fermi energy: 1.54 states/eV per cell
# distance to the lowest polymorph of the same formula: 33.8 kJ/mol of formula units
# ΔE_f: 0.071 eV/atom


# 5
# Na2AgIr (SCAN, single point on PBEsol structure)
data_Na2AgIr
_chemical_formula_sum 'Na8 Ag4 Ir4'
_symmetry_space_group_name_H-M 'I -4 2 d'
_symmetry_Int_Tables_number 122
_symmetry_space_group_name_Hall 'I -4 2bw'
_cell_length_a 7.7485
_cell_length_b 7.7485
_cell_length_c 5.3244
_cell_angle_alpha 90.00
_cell_angle_beta 90.00
_cell_angle_gamma 90.00
loop_
_atom_site_label
_atom_site_fract_x
_atom_site_fract_y
_atom_site_fract_z
Na1 0.2469 0.7500 0.1250
Ag1 0.0000 0.0000 0.0000
Ir1 0.0000 0.0000 0.5000
# uncorrected energy: -431.56 eV/cell
# spin magnetization: 0.961 μB per formula unit
# DOS at the Fermi energy: 11.91 states/eV per cell
# ΔE_f: 0.752 eV/atom


# 6
# LiMnHg2 (SCAN, single point on PBEsol structure)
data_LiMnHg2
_chemical_formula_sum 'Li1 Mn1 Hg2'
_symmetry_space_group_name_H-M 'P 4/m m m'
_symmetry_Int_Tables_number 123
_symmetry_space_group_name_Hall '-P 4 2'
_cell_length_a 4.6687
_cell_length_b 4.6687
_cell_length_c 3.1195
_cell_angle_alpha 90.00
_cell_angle_beta 90.00
_cell_angle_gamma 90.00
loop_
_atom_site_label
_atom_site_fract_x
_atom_site_fract_y
_atom_site_fract_z
Li1 0.0000 0.0000 0.0000
Mn1 0.5000 0.5000 0.0000
Hg1 0.0000 0.5000 0.5000
# uncorrected energy: -158.10 eV/cell
# spin magnetization: 3.942 μB per formula unit
# DOS at the Fermi energy: 1.60 states/eV per cell
# ΔE_f: -0.281 eV/atom


# 7
# Li2Cd2Sn (SCAN, single point on PBEsol structure)
data_Li2Cd2Sn
_chemical_formula_sum 'Li4 Cd4 Sn2'
_symmetry_space_group_name_H-M 'P 4/m b m'
_symmetry_Int_Tables_number 127
_symmetry_space_group_name_Hall '-P 4 2ab'
_cell_length_a 7.9925
_cell_length_b 7.9925
_cell_length_c 3.0821
_cell_angle_alpha 90.00
_cell_angle_beta 90.00
_cell_angle_gamma 90.00
loop_
_atom_site_label
_atom_site_fract_x
_atom_site_fract_y
_atom_site_fract_z
Li1 0.1684 0.3316 0.0000
Cd1 0.1291 0.6291 0.5000
Sn1 0.0000 0.0000 0.5000
# uncorrected energy: -205.23 eV/cell
# spin magnetization: 0.000 μB per formula unit
# DOS at the Fermi energy: 2.81 states/eV per cell
# ΔE_f: -0.218 eV/atom


# 8
# KLaW2O8 (SCAN, single point on PBEsol structure)
data_KLaW2O8
_chemical_formula_sum 'K2 La2 W4 O16'
_symmetry_space_group_name_H-M 'I -4'
_symmetry_Int_Tables_number 82
_symmetry_space_group_name_Hall 'I -4'
_cell_length_a 5.4422
_cell_length_b 5.4422
_cell_length_c 11.8098
_cell_angle_alpha 90.00
_cell_angle_beta 90.00
_cell_angle_gamma 90.00
loop_
_atom_site_label
_atom_site_fract_x
_atom_site_fract_y
_atom_site_fract_z
K1 0.0000 0.0000 0.0000
La1 0.0000 0.5000 0.7500
W1 0.0000 0.0000 0.5000
W2 0.0000 0.5000 0.2500
O1 0.1310 0.7640 0.5880
O2 0.1602 0.2692 0.1701
# uncorrected energy: -546.85 eV/cell
# formation energy without anion corrections: -2.730 eV per atom
# spin magnetization: 0.000 μB per formula unit
# DOS at the Fermi energy: 0.00 states/eV per cell